Entry 1:
Here is Zr4TiZn7 after structural relaxation from Alexandria. Energies are from PBE.

abc: 5.5211 5.6024 7.8821
angles: 79.00 75.72 65.11
With the nearest neighbours (Å) after each atom.
Space group P-1 (No. 2)
Symmetry-distinct sites (fractional):
Zr: 0.0188 0.1496 0.2937 [2 per cell]  7 Zn 2.77-3.02, 1 Ti 2.98
Zr: 0.3502 0.2349 0.8725 [2 per cell]  6 Zn 2.78-3.05, 1 Zr 3.11, 1 Ti 3.11
Ti: 0.5000 0.5000 0.5000 [1 per cell]  6 Zn 2.74-2.95, 2 Zr 2.98
Zn: 0.0089 0.3433 0.6286 [2 per cell]  4 Zn 2.41-2.66
Zn: 0.1701 0.7633 0.0450 [2 per cell]  4 Zn 2.46-2.62
Zn: 0.4589 0.3210 0.2123 [2 per cell]  4 Zn 2.46-2.64, 1 Ti 2.74
Zn: 0.5000 0.0000 0.5000 [1 per cell]  4 Zn 2.60-2.66, 2 Ti 2.80

For the formation enthalpy at 0 K, the calculation gives -0.1785 eV/atom.

=====

Entry 2:
Here is CoAs2W after structural relaxation from Alexandria. Energies are from PBE.

abc: 3.0313 4.5906 4.2931
angles: 90.00 90.00 90.00
With the nearest neighbours (Å) after each atom.
Space group Pmm2 (No. 25)
Symmetry-distinct sites (fractional):
Co: 0.0000 0.0000 0.0000 [1 per cell]  6 As 2.51-2.75
As: 0.0000 0.5000 0.2555 [1 per cell]  4 W 2.54-2.72, 2 Co 2.54
As: 0.5000 0.0000 0.5338 [1 per cell]  4 Co 2.51-2.75, 2 W 2.53
W: 0.5000 0.5000 0.7807 [1 per cell]  6 As 2.53-2.72

For the formation enthalpy at 0 K, the calculation gives 0.1255 eV/atom.

=====

Entry 3:
Here is BeSiP2O after structural relaxation from Alexandria. Energies are from PBE.

abc: 4.7307 4.7307 3.2229
angles: 90.00 90.00 90.00
With the nearest neighbours (Å) after each atom.
Space group P4/mmm (No. 123)
Symmetry-distinct sites (fractional):
Be: 0.0000 0.0000 0.0000 [1 per cell]  8 P 2.86
Si: 0.5000 0.5000 0.5000 [1 per cell]  2 O 1.61
P: 0.0000 0.5000 0.5000 [2 per cell]  2 Si 2.37
O: 0.5000 0.5000 0.0000 [1 per cell]  2 Si 1.61

The calculation puts the energy above the most stable polymorph in this dataset at 74 meV per atom.

=====

Entry 4:
Here is Sc2CdOs after structural relaxation from Alexandria. Energies are from PBE.

abc: 3.2292 3.2292 27.0497
angles: 90.00 90.00 120.00
With the nearest neighbours (Å) after each atom.
Space group R-3m (No. 166, hexagonal axes)
Symmetry-distinct sites (fractional):
Sc: 0.0000 0.0000 0.2383 [6 per cell]  3 Os 2.69
Cd: 0.0000 0.0000 0.0000 [3 per cell]  6 Sc 3.17, 6 Cd 3.23
Os: 0.0000 0.0000 0.5000 [3 per cell]  6 Sc 2.69

For the formation enthalpy at 0 K, the calculation gives -0.1078 eV/atom.

=====

Entry 5:
Here is Pm3Ho6Er2 after structural relaxation from Alexandria. Energies are from PBE.

abc: 4.7335 4.7335 33.1301
angles: 90.00 90.00 90.00
With the nearest neighbours (Å) after each atom.
Space group I4/mmm (No. 139)
Symmetry-distinct sites (fractional):
Pm: 0.0000 0.0000 0.0000 [2 per cell]  8 Er 3.68
Pm: 0.0000 0.0000 0.2024 [4 per cell]  9 Ho 3.36-3.61
Ho: 0.0000 0.0000 0.3064 [4 per cell]  5 Pm 3.36-3.44, 4 Ho 3.39
Ho: 0.0000 0.5000 0.1204 [8 per cell]  6 Ho 3.35-3.39, 2 Er 3.41, 2 Pm 3.61
Er: 0.0000 0.0000 0.4539 [4 per cell]  1 Er 3.06, 4 Ho 3.41

For the formation enthalpy at 0 K, the calculation gives 0.2793 eV/atom.

=====

Entry 6:
Here is ZnInH2Pb after structural relaxation from Alexandria. Energies are from PBE.

abc: 4.0355 4.0355 6.2279
angles: 90.00 90.00 90.00
With the nearest neighbours (Å) after each atom.
Space group P4/mmm (No. 123)
Symmetry-distinct sites (fractional):
Zn: 0.0000 0.0000 0.0000 [1 per cell]  4 In 2.85
In: 0.5000 0.5000 0.0000 [1 per cell]  4 Zn 2.85, 2 Pb 3.11
H: 0.0000 0.5000 0.5000 [2 per cell]  2 Pb 2.02
Pb: 0.5000 0.5000 0.5000 [1 per cell]  4 H 2.02

As for the total energy: -2.486 eV per atom.

=====

Entry 7:
Here is CuSIO after structural relaxation from Alexandria. Energies are from PBE.

abc: 4.6245 4.6245 7.7014
angles: 90.00 90.00 90.00
With the nearest neighbours (Å) after each atom.
Space group P4/nmm (No. 129, origin choice 2)
Symmetry-distinct sites (fractional):
Cu: 0.2500 0.7500 0.0000 [2 per cell]  4 S 2.34
S: 0.2500 0.2500 0.0469 [2 per cell]  4 Cu 2.34
I: 0.2500 0.2500 0.5505 [2 per cell]  4 O 2.34
O: 0.2500 0.7500 0.5000 [2 per cell]  4 I 2.34

The calculation puts the energy above the most stable polymorph in this dataset at 709 meV per atom.

=====

Entry 8:
Here is TaMo after structural relaxation from Alexandria. Energies are from PBE.

abc: 4.7620 5.3665 10.8789
angles: 90.00 90.00 90.00
With the nearest neighbours (Å) after each atom.
Space group P2_12_12_1 (No. 19)
Symmetry-distinct sites (fractional):
Ta: 0.0308 0.0747 0.1758 [4 per cell]  5 Mo 2.76-2.85, 2 Ta 2.92-3.09
Ta: 0.0586 0.6022 0.0429 [4 per cell]  4 Mo 2.65-2.81, 1 Ta 2.92
Mo: 0.0333 0.7084 0.8048 [4 per cell]  2 Mo 2.52-2.73, 2 Ta 2.65-2.76
Mo: 0.0637 0.1577 0.9214 [4 per cell]  2 Mo 2.52-2.73, 4 Ta 2.73-2.81

For the formation enthalpy at 0 K, the calculation gives 0.1345 eV/atom.

=====

Number 1: ρ 6.78 g/cm³. Number 2: ρ 10.91 g/cm³. Number 3: ρ 2.65 g/cm³. Number 4: ρ 8.01 g/cm³. Number 5: ρ 7.87 g/cm³. Number 6: ρ 6.38 g/cm³. Number 7: ρ 4.81 g/cm³. Number 8: ρ 13.23 g/cm³.